# 1
DFT (PBE) results for a relaxed BiPS2Cl crystal. Values from VASP.

The structure in Quantum ESPRESSO input format:
```
&SYSTEM
  ibrav = 0, nat = 5, ntyp = 4
/
ATOMIC_SPECIES
S 32.06 S.upf
Bi 208.98 Bi.upf
P 30.97 P.upf
Cl 35.45 Cl.upf
CELL_PARAMETERS angstrom
4.7164 0.0000 0.0000
0.0000 4.7164 0.0000
0.0000 0.0000 4.5845
ATOMIC_POSITIONS crystal
S 0.5000 0.0000 0.0000
Bi 0.5000 0.5000 0.5000
P 0.0000 0.0000 0.0000
S 0.0000 0.5000 0.0000
Cl 0.0000 0.0000 0.5000
```

Summary:
DOS(E_F): 0.54 states/eV per atom
energy relative to the elements, uncorrected: 0.127 eV/atom
space-group type: P4/mmm, No. 123
energy above the most stable polymorph in this dataset: 0.00 eV per formula unit

# 2
DFT (PBE) results for a relaxed LiHgSe2 crystal. Values from VASP.

The structure in Quantum ESPRESSO input format:
```
&SYSTEM
  ibrav = 0, nat = 4, ntyp = 3
/
ATOMIC_SPECIES
Se 78.96 Se.upf
Hg 200.59 Hg.upf
Li 6.94 Li.upf
CELL_PARAMETERS angstrom
-1.0339 -2.2708 1.9743
3.8808 -0.4725 1.4888
-1.3027 4.8963 4.9494
ATOMIC_POSITIONS crystal
Se 0.5000 0.5000 0.2894
Hg 0.0000 0.0000 0.4606
Se 0.0000 0.0000 0.8317
Li 0.5000 0.5000 0.9182
```

Summary:
DOS(E_F): 0.28 states/eV per atom
energy relative to the elements, uncorrected: -0.399 eV/atom
space-group type: Pmm2, No. 25

# 3
DFT (PBE) results for a relaxed TmNiBiPd crystal. Values from VASP.

The structure in Quantum ESPRESSO input format:
```
&SYSTEM
  ibrav = 0, nat = 4, ntyp = 4
/
ATOMIC_SPECIES
Bi 208.98 Bi.upf
Tm 168.93 Tm.upf
Ni 58.69 Ni.upf
Pd 106.42 Pd.upf
CELL_PARAMETERS angstrom
4.7800 0.0000 0.0000
2.3900 4.1396 0.0000
2.3900 1.3799 3.9028
ATOMIC_POSITIONS crystal
Bi 0.5000 0.5000 0.5000
Tm 0.0000 0.0000 0.0000
Ni 0.2500 0.2500 0.2500
Pd 0.7500 0.7500 0.7500
```

Summary:
DOS(E_F): 0.77 states/eV per atom
energy of formation: -491 meV/atom
space-group type: F-43m, No. 216

# 4
DFT (PBE) results for a relaxed LiHfTlS3 crystal. Values from VASP.

The structure in Quantum ESPRESSO input format:
```
&SYSTEM
  ibrav = 0, nat = 12, ntyp = 4
/
ATOMIC_SPECIES
Hf 178.49 Hf.upf
S 32.06 S.upf
Tl 204.38 Tl.upf
Li 6.94 Li.upf
CELL_PARAMETERS angstrom
-1.6136 2.7310 -2.0660
-5.2096 -5.8530 -3.6682
-4.0292 3.2248 7.4098
ATOMIC_POSITIONS crystal
Hf 0.7500 0.3235 0.8451
S 0.7500 0.4678 0.1508
S 0.7500 0.8606 0.1198
S 0.7500 0.2149 0.5572
Tl 0.7500 0.7822 0.7389
Hf 0.2500 0.6765 0.1549
Tl 0.2500 0.2178 0.2611
Li 0.7500 0.9278 0.3957
S 0.2500 0.1394 0.8802
Li 0.2500 0.0722 0.6043
S 0.2500 0.5322 0.8492
S 0.2500 0.7851 0.4428
```

Summary:
DOS(E_F): 0.00 states/eV per atom
energy relative to the elements, uncorrected: -1.230 eV/atom
space-group type: P2_1/m, No. 11

# 5
DFT (PBE) results for a relaxed Zr3HgC crystal. Values from VASP.

The structure in Quantum ESPRESSO input format:
```
&SYSTEM
  ibrav = 0, nat = 10, ntyp = 3
/
ATOMIC_SPECIES
Zr 91.22 Zr.upf
Hg 200.59 Hg.upf
C 12.01 C.upf
CELL_PARAMETERS angstrom
-1.2044 18.1072 -9.2621
-2.3926 4.7589 -5.5435
-0.9261 -4.7664 5.9603
ATOMIC_POSITIONS crystal
Zr 0.3285 0.6236 0.3764
Zr 0.3666 0.3665 0.6335
Hg 0.1473 0.0217 0.9783
Hg 0.8527 0.9783 0.0217
C 0.3536 0.9903 0.0097
C 0.6464 0.0097 0.9903
Zr 0.6715 0.3764 0.6236
Zr 0.0673 0.3303 0.6697
Zr 0.9327 0.6697 0.3303
Zr 0.6334 0.6335 0.3665
```

Summary:
DOS(E_F): 0.91 states/eV per atom
energy of formation: -321 meV/atom
space-group type: C2/m, No. 12
energy above the most stable polymorph in this dataset: 0.92 eV per formula unit

# 6
DFT (PBE) results for a relaxed LiTmPd4 crystal. Values from VASP.

The structure in Quantum ESPRESSO input format:
```
&SYSTEM
  ibrav = 0, nat = 6, ntyp = 3
/
ATOMIC_SPECIES
Li 6.94 Li.upf
Pd 106.42 Pd.upf
Tm 168.93 Tm.upf
CELL_PARAMETERS angstrom
5.3161 0.0000 0.0000
2.6581 4.6039 0.0000
2.6581 1.5346 4.3406
ATOMIC_POSITIONS crystal
Li 0.2500 0.2500 0.2500
Pd 0.6248 0.6248 0.6248
Tm 0.0000 0.0000 0.0000
Pd 0.6248 0.6248 0.1255
Pd 0.1255 0.6248 0.6248
Pd 0.6248 0.1255 0.6248
```

Summary:
DOS(E_F): 0.51 states/eV per atom
energy of formation: -604 meV/atom
space-group type: F-43m, No. 216
energy above the most stable polymorph in this dataset: 0.00 eV per formula unit

# 7
DFT (PBE) results for a relaxed TaAsPb2 crystal. Values from VASP.

The structure in Quantum ESPRESSO input format:
```
&SYSTEM
  ibrav = 0, nat = 4, ntyp = 3
/
ATOMIC_SPECIES
Pb 207.20 Pb.upf
Ta 180.95 Ta.upf
As 74.92 As.upf
CELL_PARAMETERS angstrom
3.1221 0.0000 0.0000
0.0000 5.0371 0.0000
0.0000 0.0000 5.9596
ATOMIC_POSITIONS crystal
Pb 0.0000 0.0000 0.0013
Ta 0.5000 0.5000 0.2500
Pb 0.0000 0.0000 0.4987
As 0.5000 0.5000 0.7500
```

Summary:
DOS(E_F): 0.61 states/eV per atom
energy of formation: 604 meV/atom
space-group type: Pmmm, No. 47

# 8
DFT (PBE) results for a relaxed Pr4ThAu5 crystal. Values from VASP.

The structure in Quantum ESPRESSO input format:
```
&SYSTEM
  ibrav = 0, nat = 10, ntyp = 3
/
ATOMIC_SPECIES
Au 196.97 Au.upf
Pr 140.91 Pr.upf
Th 232.04 Th.upf
CELL_PARAMETERS angstrom
3.7171 0.0000 0.0000
0.0000 3.7171 0.0000
0.0000 0.0000 18.8819
ATOMIC_POSITIONS crystal
Au 0.5000 0.5000 0.0990
Pr 0.0000 0.0000 0.8000
Pr 0.0000 0.0000 0.6004
Pr 0.0000 0.0000 0.2000
Au 0.5000 0.5000 0.9010
Th 0.0000 0.0000 0.0000
Pr 0.0000 0.0000 0.3996
Au 0.5000 0.5000 0.5000
Au 0.5000 0.5000 0.3008
Au 0.5000 0.5000 0.6992
```

Summary:
DOS(E_F): 0.83 states/eV per atom
energy of formation: -705 meV/atom
space-group type: P4/mmm, No. 123

# 9
DFT (PBE) results for a relaxed CuSe2Cl crystal. Values from VASP.

The structure in Quantum ESPRESSO input format:
```
&SYSTEM
  ibrav = 0, nat = 4, ntyp = 3
/
ATOMIC_SPECIES
Se 78.96 Se.upf
Cl 35.45 Cl.upf
Cu 63.55 Cu.upf
CELL_PARAMETERS angstrom
-0.7335 -7.1179 -2.1733
4.2659 6.1215 -0.5051
2.0628 -1.1769 3.1583
ATOMIC_POSITIONS crystal
Se 0.5000 0.5000 0.0000
Cl 0.5000 0.0000 0.5000
Se 0.0000 0.0000 0.0000
Cu 0.0000 0.5000 0.5000
```

Summary:
DOS(E_F): 0.36 states/eV per atom
energy relative to the elements, uncorrected: 0.282 eV/atom
space-group type: Cmmm, No. 65
energy above the most stable polymorph in this dataset: 2.29 eV per formula unit

# 10
DFT (PBE) results for a relaxed Tb2ZnSn4 crystal. Values from VASP.

The structure in Quantum ESPRESSO input format:
```
&SYSTEM
  ibrav = 0, nat = 7, ntyp = 3
/
ATOMIC_SPECIES
Tb 158.93 Tb.upf
Sn 118.71 Sn.upf
Zn 65.41 Zn.upf
CELL_PARAMETERS angstrom
-3.9374 -2.0872 0.0464
1.6423 -3.1577 -2.6821
2.6292 -4.7987 7.2593
ATOMIC_POSITIONS crystal
Tb 0.0000 0.5000 0.2258
Sn 0.5000 0.5000 0.5000
Sn 0.0000 0.0000 0.5000
Sn 0.5000 0.0000 0.1760
Zn 0.5000 0.5000 0.0000
Sn 0.0000 0.5000 0.8240
Tb 0.5000 0.0000 0.7742
```

Summary:
DOS(E_F): 0.49 states/eV per atom
energy of formation: -438 meV/atom
space-group type: P-4m2, No. 115

# 11
DFT (PBE) results for a relaxed Li6Ac3Tl5 crystal. Values from VASP.

The structure in Quantum ESPRESSO input format:
```
&SYSTEM
  ibrav = 0, nat = 28, ntyp = 3
/
ATOMIC_SPECIES
Ac 227.00 Ac.upf
Tl 204.38 Tl.upf
Li 6.94 Li.upf
CELL_PARAMETERS angstrom
-4.4729 -2.1421 -0.4189
2.7754 -7.0939 6.6406
-4.9217 8.1680 10.7826
ATOMIC_POSITIONS crystal
Ac 0.5000 0.7875 0.5000
Ac 0.0000 0.2125 0.0000
Tl 0.0000 0.8993 0.6595
Tl 0.0000 0.7668 0.0000
Li 0.5000 0.3856 0.8341
Ac 0.0000 0.2589 0.3000
Ac 0.0000 0.2589 0.7000
Li 0.5000 0.0421 0.6473
Li 0.5000 0.0421 0.3527
Tl 0.5000 0.4901 0.3750
Tl 0.0000 0.5099 0.1250
Ac 0.5000 0.7411 0.2000
Ac 0.5000 0.7411 0.8000
Li 0.5000 0.3856 0.1659
Li 0.5000 0.5477 0.0000
Tl 0.5000 0.1007 0.8405
Tl 0.0000 0.8993 0.3405
Tl 0.5000 0.4901 0.6250
Tl 0.5000 0.1007 0.1595
Li 0.0000 0.9579 0.1473
Li 0.0000 0.6144 0.6659
Li 0.0000 0.4523 0.5000
Li 0.0000 0.0675 0.5000
Li 0.5000 0.9325 0.0000
Li 0.0000 0.9579 0.8527
Tl 0.5000 0.2332 0.5000
Li 0.0000 0.6144 0.3341
Tl 0.0000 0.5099 0.8750
```

Summary:
DOS(E_F): 0.56 states/eV per atom
energy of formation: -276 meV/atom
space-group type: Pmmn, No. 59

# 12
DFT (PBE) results for a relaxed FeCuGeRu crystal. Values from VASP.

The structure in Quantum ESPRESSO input format:
```
&SYSTEM
  ibrav = 0, nat = 4, ntyp = 4
/
ATOMIC_SPECIES
Ge 72.64 Ge.upf
Fe 55.84 Fe.upf
Ru 101.07 Ru.upf
Cu 63.55 Cu.upf
CELL_PARAMETERS angstrom
4.1745 0.0000 0.0000
2.0872 3.6152 0.0000
2.0872 1.2051 3.4085
ATOMIC_POSITIONS crystal
Ge 0.2500 0.2500 0.2500
Fe 0.0000 0.0000 0.0000
Ru 0.5000 0.5000 0.5000
Cu 0.7500 0.7500 0.7500
```

Summary:
DOS(E_F): 0.90 states/eV per atom
energy of formation: 20 meV/atom
space-group type: F-43m, No. 216

> Among the records above, which one has the highest DOS(E_F)?

Zr3HgC

> Among the records above, which one has the lowest DOS(E_F)?

LiHfTlS3